30
Lattice="9.229 0.000 0.000 0.000 9.229 0.000 0.000 0.000 4.960" Properties=species:S:1:pos:R:3 comment="Re11Ni4 (GGA-PBE, relaxed)" m_tot_mub_per_fu=0.0 e_form_ev_per_atom=0.183 e_above_lowest_polymorph_mev_per_atom=164 mass_density_g_cm3=17.9 pbc="T T T"
Re 0.000 0.000 0.000
Re 0.635 2.513 0.000
Re 0.948 0.948 2.480
Re 1.665 7.564 1.253
Re 1.665 7.564 3.707
Re 2.102 5.249 2.480
Re 2.513 0.635 0.000
Re 2.950 2.950 1.227
Re 2.950 2.950 3.733
Re 3.666 5.563 0.000
Re 3.980 7.127 2.480
Re 4.614 4.614 2.480
Re 5.249 2.102 2.480
Re 5.563 3.666 0.000
Re 6.279 6.279 1.227
Re 6.279 6.279 3.733
Re 6.716 8.594 0.000
Re 7.127 3.980 2.480
Re 7.564 1.665 1.253
Re 7.564 1.665 3.707
Re 8.281 8.281 2.480
Re 8.594 6.716 0.000
Ni 0.355 3.449 2.480
Ni 1.165 4.969 0.000
Ni 3.449 0.355 2.480
Ni 4.260 8.064 0.000
Ni 4.969 1.165 0.000
Ni 5.779 8.874 2.480
Ni 8.064 4.260 0.000
Ni 8.874 5.779 2.480